Run P
DFT (PBE) results for a relaxed structure of Ca2TaRh.

Results
**D(E_F)**: 13.7 states/eV/cell

Lattice parameters (Å, degrees): 7.1863 7.1863 7.1863 90.00 90.00 90.00
Space group Fm-3m (No. 225)
One atom of each set of equivalent atoms:
Ca 0.2500 0.2500 0.2500 (multiplicity 8)
Ta 0.0000 0.0000 0.0000 (multiplicity 4)
Rh 0.0000 0.0000 0.5000 (multiplicity 4)

Run Q
DFT (PBE) results for a relaxed structure of Ca2TaRh.

Results
**D(E_F)**: 4.4 states/eV/cell

Lattice parameters (Å, degrees): 3.1018 3.1018 9.1783 90.00 90.00 90.00
Space group P4/mmm (No. 123)
One atom of each set of equivalent atoms:
Ca 0.0000 0.0000 0.2099 (multiplicity 2)
Ta 0.5000 0.5000 0.5000 (multiplicity 1)
Rh 0.5000 0.5000 0.0000 (multiplicity 1)

Run R
DFT (PBE) results for a relaxed structure of Ca2TaRh.

Results
**D(E_F)**: 4.4 states/eV/cell

Lattice parameters (Å, degrees): 5.3106 5.3106 3.1893 90.00 90.00 90.00
Space group P4/mmm (No. 123)
One atom of each set of equivalent atoms:
Ca 0.0000 0.5000 0.0000 (multiplicity 2)
Ta 0.0000 0.0000 0.5000 (multiplicity 1)
Rh 0.5000 0.5000 0.5000 (multiplicity 1)

Stability verdict: run Q, ahead by 299 meV/atom

Run P
DFT (PBE) results for a relaxed structure of CaTa2Rh.

Results
**D(E_F)**: 11.0 states/eV/cell

Lattice parameters (Å, degrees): 4.0748 4.1369 9.4090 90.00 90.00 90.00
Space group Cmmm (No. 65)
One atom of each set of equivalent atoms:
Ca 0.0000 0.0000 0.0000 (multiplicity 2)
Ta 0.0000 0.5000 0.2993 (multiplicity 4)
Rh 0.0000 0.0000 0.5000 (multiplicity 2)

Run Q
DFT (PBE) results for a relaxed structure of CaTa2Rh.

Results
**D(E_F)**: 7.3 states/eV/cell

Lattice parameters (Å, degrees): 10.3588 2.9295 5.8819 90.00 116.39 90.00
Space group Cm (No. 8)
One atom of each set of equivalent atoms:
Ca 0.0000 0.0000 0.0000 (multiplicity 2)
Ta 0.1876 0.0000 0.6103 (multiplicity 2)
Ta 0.4219 0.0000 0.4415 (multiplicity 2)
Rh 0.2403 0.5000 0.0275 (multiplicity 2)

Run R
DFT (PBE) results for a relaxed structure of CaTa2Rh.

Results
**D(E_F)**: 4.3 states/eV/cell

Lattice parameters (Å, degrees): 3.9268 3.9268 4.9875 90.00 90.00 90.00
Space group P4/mmm (No. 123)
One atom of each set of equivalent atoms:
Ca 0.0000 0.0000 0.0000 (multiplicity 1)
Ta 0.0000 0.5000 0.5000 (multiplicity 2)
Rh 0.5000 0.5000 0.0000 (multiplicity 1)

Run S
DFT (PBE) results for a relaxed structure of CaTa2Rh.

Results
**D(E_F)**: 23.3 states/eV/cell

Lattice parameters (Å, degrees): 6.6848 6.6903 6.7028 90.00 90.00 90.00
Space group F222 (No. 22)
One atom of each set of equivalent atoms:
Ca 0.0000 0.0000 0.0000 (multiplicity 4)
Ta 0.0000 0.0000 0.5000 (multiplicity 4)
Ta 0.2500 0.2500 0.2500 (multiplicity 4)
Rh 0.2500 0.2500 0.7500 (multiplicity 4)

Stability verdict: run Q, ahead by 87 meV/atom

Run P
DFT (PBE) results for a relaxed structure of CaTa2Rh.

Results
**D(E_F)**: 4.5 states/eV/cell

Lattice parameters (Å, degrees): 3.1249 3.1249 8.3876 90.00 90.00 90.00
Space group P4mm (No. 99)
One atom of each set of equivalent atoms:
Ca 0.0000 0.0000 0.0000 (multiplicity 1)
Ta 0.0000 0.0000 0.5604 (multiplicity 1)
Ta 0.5000 0.5000 0.3317 (multiplicity 1)
Rh 0.5000 0.5000 0.7336 (multiplicity 1)

Run Q
DFT (PBE) results for a relaxed structure of CaTa2Rh.

Results
**D(E_F)**: 4.8 states/eV/cell

Lattice parameters (Å, degrees): 4.8971 4.8971 3.0529 90.00 90.00 90.00
Space group P4/mmm (No. 123)
One atom of each set of equivalent atoms:
Ca 0.0000 0.0000 0.0000 (multiplicity 1)
Ta 0.0000 0.5000 0.5000 (multiplicity 2)
Rh 0.5000 0.5000 0.0000 (multiplicity 1)

Run R
DFT (PBE) results for a relaxed structure of CaTa2Rh.

Results
**D(E_F)**: 8.6 states/eV/cell

Lattice parameters (Å, degrees): 5.4114 9.7224 2.8690 90.00 90.00 90.00
Space group Cmmm (No. 65)
One atom of each set of equivalent atoms:
Ca 0.0000 0.0000 0.0000 (multiplicity 2)
Ta 0.2500 0.2500 0.5000 (multiplicity 4)
Rh 0.0000 0.5000 0.0000 (multiplicity 2)

Stability verdict: run P, ahead by 430 meV/atom